# Tm2Zr3Co4

A relaxed structure of Tm2Zr3Co4 (PBE-GGA, Alexandria).

Structure (CIF):
```
data_Tm2Zr3Co4
_space_group_name_H-M_alt 'P 1'
_space_group_IT_number 1
_cell_length_a 7.200
_cell_length_b 6.948
_cell_length_c 6.930
_cell_angle_alpha 90.00
_cell_angle_beta 90.00
_cell_angle_gamma 107.89
loop_
_space_group_symop_operation_xyz
'x,y,z'
loop_
_atom_site_label
_atom_site_fract_x
_atom_site_fract_y
_atom_site_fract_z
_atom_site_occupancy
Tm1 0.589 0.197 0.326 1
Tm2 0.911 0.803 0.826 1
Tm3 0.411 0.803 0.674 1
Tm4 0.089 0.197 0.174 1
Zr1 0.000 0.500 0.500 1
Zr2 0.500 0.500 0.000 1
Zr3 0.750 0.242 0.828 1
Zr4 0.750 0.758 0.328 1
Zr5 0.250 0.758 0.172 1
Zr6 0.250 0.242 0.672 1
Co1 0.880 0.089 0.539 1
Co2 0.620 0.911 0.039 1
Co3 0.120 0.911 0.461 1
Co4 0.380 0.089 0.961 1
Co5 0.886 0.505 0.125 1
Co6 0.614 0.495 0.625 1
Co7 0.114 0.495 0.875 1
Co8 0.386 0.505 0.375 1
```

Computed properties:
- DFT formation energy: -274 meV per atom

---

# Tm4ZrCo5

A relaxed structure of Tm4ZrCo5 (PBE-GGA, Alexandria).

Structure (CIF):
```
data_Tm4ZrCo5
_space_group_name_H-M_alt 'P 1'
_space_group_IT_number 1
_cell_length_a 3.268
_cell_length_b 3.268
_cell_length_c 16.375
_cell_angle_alpha 90.00
_cell_angle_beta 90.00
_cell_angle_gamma 90.00
loop_
_space_group_symop_operation_xyz
'x,y,z'
loop_
_atom_site_label
_atom_site_fract_x
_atom_site_fract_y
_atom_site_fract_z
_atom_site_occupancy
Tm1 0.000 0.000 0.199 1
Tm2 0.000 0.000 0.400 1
Tm3 0.000 0.000 0.600 1
Tm4 0.000 0.000 0.801 1
Zr1 0.000 0.000 0.000 1
Co1 0.500 0.500 0.089 1
Co2 0.500 0.500 0.297 1
Co3 0.500 0.500 0.500 1
Co4 0.500 0.500 0.703 1
Co5 0.500 0.500 0.911 1
```

Computed properties:
- DFT formation energy: -252 meV per atom

---

# Tm2ZrCo

A relaxed structure of Tm2ZrCo (PBE-GGA, Alexandria).

Structure (CIF):
```
data_Tm2ZrCo
_space_group_name_H-M_alt 'P 1'
_space_group_IT_number 1
_cell_length_a 3.282
_cell_length_b 3.282
_cell_length_c 10.255
_cell_angle_alpha 80.79
_cell_angle_beta 80.79
_cell_angle_gamma 60.00
loop_
_space_group_symop_operation_xyz
'x,y,z'
loop_
_atom_site_label
_atom_site_fract_x
_atom_site_fract_y
_atom_site_fract_z
_atom_site_occupancy
Tm1 0.105 0.105 0.684 1
Tm2 0.895 0.895 0.316 1
Co1 0.500 0.500 0.500 1
Zr1 0.000 0.000 0.000 1
```

Computed properties:
- DFT formation energy: 288 meV per atom

---

# UCo4

A relaxed structure of UCo4 (PBE-GGA, Alexandria).

Structure (CIF):
```
data_UCo4
_space_group_name_H-M_alt 'P 1'
_space_group_IT_number 1
_cell_length_a 3.937
_cell_length_b 5.179
_cell_length_c 7.080
_cell_angle_alpha 111.46
_cell_angle_beta 106.14
_cell_angle_gamma 90.00
loop_
_space_group_symop_operation_xyz
'x,y,z'
loop_
_atom_site_label
_atom_site_fract_x
_atom_site_fract_y
_atom_site_fract_z
_atom_site_occupancy
U1 0.890 0.140 0.781 1
U2 0.110 0.860 0.219 1
Co1 0.109 0.359 0.218 1
Co2 0.891 0.641 0.782 1
Co3 0.500 0.000 0.000 1
Co4 0.500 0.500 0.000 1
Co5 0.697 0.215 0.394 1
Co6 0.303 0.785 0.606 1
Co7 0.303 0.321 0.606 1
Co8 0.697 0.679 0.394 1
```

Computed properties:
- DFT formation energy: -126 meV per atom

---

# UCo3

A relaxed structure of UCo3 (PBE-GGA, Alexandria).

Structure (CIF):
```
data_UCo3
_space_group_name_H-M_alt 'P 1'
_space_group_IT_number 1
_cell_length_a 8.537
_cell_length_b 8.537
_cell_length_c 8.537
_cell_angle_alpha 32.62
_cell_angle_beta 32.62
_cell_angle_gamma 32.62
loop_
_space_group_symop_operation_xyz
'x,y,z'
loop_
_atom_site_label
_atom_site_fract_x
_atom_site_fract_y
_atom_site_fract_z
_atom_site_occupancy
U1 0.140 0.140 0.140 1
U2 0.860 0.860 0.860 1
U3 0.000 0.000 0.000 1
Co1 0.583 0.083 0.583 1
Co2 0.083 0.583 0.583 1
Co3 0.583 0.583 0.083 1
Co4 0.417 0.917 0.417 1
Co5 0.917 0.417 0.417 1
Co6 0.417 0.417 0.917 1
Co7 0.334 0.334 0.334 1
Co8 0.666 0.666 0.666 1
Co9 0.500 0.500 0.500 1
```

Computed properties:
- DFT formation energy: -168 meV per atom

---

# U4Co

A relaxed structure of U4Co (PBE-GGA, Alexandria).

Structure (CIF):
```
data_U4Co
_space_group_name_H-M_alt 'P 1'
_space_group_IT_number 1
_cell_length_a 6.799
_cell_length_b 6.799
_cell_length_c 6.799
_cell_angle_alpha 60.00
_cell_angle_beta 60.00
_cell_angle_gamma 60.00
loop_
_space_group_symop_operation_xyz
'x,y,z'
loop_
_atom_site_label
_atom_site_fract_x
_atom_site_fract_y
_atom_site_fract_z
_atom_site_occupancy
U1 0.852 0.852 0.852 1
U2 0.852 0.443 0.852 1
U3 0.852 0.852 0.443 1
U4 0.398 0.807 0.398 1
U5 0.398 0.398 0.398 1
U6 0.443 0.852 0.852 1
U7 0.398 0.398 0.807 1
U8 0.807 0.398 0.398 1
Co1 0.250 0.250 0.250 1
Co2 0.000 0.000 0.000 1
```

Computed properties:
- DFT formation energy: 675 meV per atom

---

# UCo6

A relaxed structure of UCo6 (PBE-GGA, Alexandria).

Structure (CIF):
```
data_UCo6
_space_group_name_H-M_alt 'P 1'
_space_group_IT_number 1
_cell_length_a 5.205
_cell_length_b 5.205
_cell_length_c 5.205
_cell_angle_alpha 109.47
_cell_angle_beta 109.47
_cell_angle_gamma 109.47
loop_
_space_group_symop_operation_xyz
'x,y,z'
loop_
_atom_site_label
_atom_site_fract_x
_atom_site_fract_y
_atom_site_fract_z
_atom_site_occupancy
U1 0.000 0.000 0.000 1
Co1 0.250 0.750 0.500 1
Co2 0.500 0.750 0.250 1
Co3 0.250 0.500 0.750 1
Co4 0.750 0.250 0.500 1
Co5 0.500 0.250 0.750 1
Co6 0.750 0.500 0.250 1
```

Computed properties:
- DFT formation energy: 741 meV per atom

---

# UCo3

A relaxed structure of UCo3 (PBE-GGA, Alexandria).

Structure (CIF):
```
data_UCo3
_space_group_name_H-M_alt 'P 1'
_space_group_IT_number 1
_cell_length_a 3.748
_cell_length_b 3.748
_cell_length_c 4.571
_cell_angle_alpha 114.20
_cell_angle_beta 114.20
_cell_angle_gamma 90.00
loop_
_space_group_symop_operation_xyz
'x,y,z'
loop_
_atom_site_label
_atom_site_fract_x
_atom_site_fract_y
_atom_site_fract_z
_atom_site_occupancy
Co1 0.750 0.250 0.500 1
Co2 0.250 0.750 0.500 1
Co3 0.500 0.500 0.000 1
U1 0.000 0.000 0.000 1
```

Computed properties:
- DFT formation energy: -149 meV per atom

---

# UCo

A relaxed structure of UCo (PBE-GGA, Alexandria).

Structure (CIF):
```
data_UCo
_space_group_name_H-M_alt 'P 1'
_space_group_IT_number 1
_cell_length_a 5.459
_cell_length_b 5.459
_cell_length_c 5.459
_cell_angle_alpha 109.47
_cell_angle_beta 109.47
_cell_angle_gamma 109.47
loop_
_space_group_symop_operation_xyz
'x,y,z'
loop_
_atom_site_label
_atom_site_fract_x
_atom_site_fract_y
_atom_site_fract_z
_atom_site_occupancy
U1 0.069 0.500 0.000 1
U2 0.000 0.069 0.500 1
U3 0.500 0.000 0.069 1
U4 0.431 0.431 0.431 1
Co1 0.595 0.500 0.000 1
Co2 0.000 0.595 0.500 1
Co3 0.500 0.000 0.595 1
Co4 0.905 0.905 0.905 1
```

Computed properties:
- DFT formation energy: -266 meV per atom

---

# U4Co

A relaxed structure of U4Co (PBE-GGA, Alexandria).

Structure (CIF):
```
data_U4Co
_space_group_name_H-M_alt 'P 1'
_space_group_IT_number 1
_cell_length_a 4.901
_cell_length_b 4.901
_cell_length_c 4.901
_cell_angle_alpha 90.00
_cell_angle_beta 90.00
_cell_angle_gamma 90.00
loop_
_space_group_symop_operation_xyz
'x,y,z'
loop_
_atom_site_label
_atom_site_fract_x
_atom_site_fract_y
_atom_site_fract_z
_atom_site_occupancy
U1 0.000 0.000 0.000 1
U2 0.500 0.000 0.500 1
U3 0.000 0.500 0.500 1
U4 0.500 0.500 0.000 1
Co1 0.500 0.500 0.500 1
```

Computed properties:
- DFT formation energy: 826 meV per atom

---

# U6Co

A relaxed structure of U6Co (PBE-GGA, Alexandria).

Structure (CIF):
```
data_U6Co
_space_group_name_H-M_alt 'P 1'
_space_group_IT_number 1
_cell_length_a 7.662
_cell_length_b 7.662
_cell_length_c 7.662
_cell_angle_alpha 96.55
_cell_angle_beta 96.55
_cell_angle_gamma 140.52
loop_
_space_group_symop_operation_xyz
'x,y,z'
loop_
_atom_site_label
_atom_site_fract_x
_atom_site_fract_y
_atom_site_fract_z
_atom_site_occupancy
U1 0.896 0.217 0.114 1
U2 0.405 0.905 0.311 1
U3 0.095 0.405 0.500 1
U4 0.104 0.783 0.886 1
U5 0.595 0.095 0.689 1
U6 0.217 0.104 0.321 1
U7 0.783 0.896 0.679 1
U8 0.604 0.717 0.321 1
U9 0.717 0.396 0.114 1
U10 0.396 0.283 0.679 1
U11 0.905 0.595 0.500 1
U12 0.283 0.604 0.886 1
Co1 0.750 0.750 0.000 1
Co2 0.250 0.250 0.000 1
```

Computed properties:
- DFT formation energy: -33 meV per atom

---

# UCo4

A relaxed structure of UCo4 (PBE-GGA, Alexandria).

Structure (CIF):
```
data_UCo4
_space_group_name_H-M_alt 'P 1'
_space_group_IT_number 1
_cell_length_a 4.466
_cell_length_b 4.466
_cell_length_c 4.466
_cell_angle_alpha 90.00
_cell_angle_beta 90.00
_cell_angle_gamma 90.00
loop_
_space_group_symop_operation_xyz
'x,y,z'
loop_
_atom_site_label
_atom_site_fract_x
_atom_site_fract_y
_atom_site_fract_z
_atom_site_occupancy
Co1 0.000 0.000 0.000 1
Co2 0.500 0.000 0.500 1
Co3 0.000 0.500 0.500 1
Co4 0.500 0.500 0.000 1
U1 0.500 0.500 0.500 1
```

Computed properties:
- DFT formation energy: 1386 meV per atom

---

no.,volume (Å³/cell)
1,329.9
2,174.8
3,94.0
4,128.2
5,160.9
6,222.3
7,108.6
8,52.3
9,125.2
10,117.8
11,269.2
12,89.1